# PBE BaMgSnHg, relaxed
# **Total magnetization**: 0.00 μB per formula unit
# **DFT total energy**: -2.35 eV per atom
# **Formation energy**: -0.398 eV per atom
data_BaMgSnHg
_chemical_formula_sum 'Ba4 Mg4 Sn4 Hg4'
_cell_length_a 7.873
_cell_length_b 7.873
_cell_length_c 7.873
_cell_angle_alpha 90.00
_cell_angle_beta 90.00
_cell_angle_gamma 90.00
_space_group_name_H-M_alt 'F -4 3 m'
_space_group_IT_number 216
_space_group_name_Hall 'F -4 2 3'
loop_
_atom_site_label
_atom_site_fract_x
_atom_site_fract_y
_atom_site_fract_z
Ba1 0.000 0.000 0.000
Mg1 0.000 0.000 0.500
Sn1 0.250 0.250 0.750
Hg1 0.250 0.250 0.250